VASP calculation (GGA-PBE) on a relaxed structure of TcHPd.

The value obtained for the energy relative to the lowest polymorph listed for this composition is 0.233 eV/atom. The value obtained for the electronic total energy is -6.118 eV per atom. For the total moment, the calculation gives 0.000 μB/atom.

It has space group Pnma (No. 62), with a = 5.552 Å, b = 2.745 Å, c = 9.217 Å, α = 90.00°, β = 90.00° and γ = 90.00°. The inequivalent atoms are Tc at (0.128, 0.250, 0.086), H at (0.099, 0.750, 0.228) and Pd at (0.123, 0.250, 0.384).

VASP calculation (GGA-PBE) on a relaxed structure of ScPaVGa.

The value obtained for the electronic total energy is -6.991 eV per atom. For the formation energy from the elements, the calculation gives 0.2 kJ/mol of atoms. For the total moment, the calculation gives 0.487 μB/atom.

It has space group F-43m (No. 216), with a = 6.856 Å, b = 6.856 Å, c = 6.856 Å, α = 90.00°, β = 90.00° and γ = 90.00°. The inequivalent atoms are Sc at (0.000, 0.000, 0.000), Pa at (0.000, 0.000, 0.500), V at (0.250, 0.250, 0.250) and Ga at (0.250, 0.250, 0.750).

Question: Among the records above, which one has the lowest total moment?
Answer: TcHPd

Question: Which of these has the lowest total moment?
Answer: TcHPd

Question: Which formula does entry 2 have?
Answer: ScPaVGa